OsW2 PBE relaxed; crystal system = cubic; DFT formation energy = 0.6980 eV/atom; symmetry = Fm-3m, No. 225; total energy = -11.68 eV/atom
1.0
4.277 0.000 0.000
2.138 3.704 0.000
2.138 1.235 3.492
W Os
2 1
Cartesian
2.138 1.235 0.873
6.415 3.704 2.619
0.000 0.000 0.000

Nb2NiPd2 PBE relaxed; crystal system = tetragonal; DFT formation energy = 0.0725 eV/atom; symmetry = P4/mbm, No. 127; total energy = -7.19 eV/atom
1.0
-2.691 -6.428 0.445
4.304 -1.434 5.309
-2.344 1.134 2.207
Pd Nb Ni
4 4 2
Cartesian
1.227 -1.377 2.011
2.745 -3.609 4.771
0.385 -6.485 3.742
-1.133 -4.253 0.983
-1.995 -5.195 3.191
1.264 -1.533 4.770
0.556 -4.959 5.779
-1.287 -1.769 2.181
0.806 -3.931 2.877
0.000 0.000 0.000

Among the records above, which one has the highest DFT formation energy? OsW2

Which of these has the highest DFT formation energy? OsW2

The lowest total energy belongs to which entry? OsW2

Look up the total energy of the second one. -7.19 eV/atom